No. 1
A plane-wave DFT calculation with PBE was carried out for crystalline SiHgGeOs2 at its relaxed geometry.

Computed properties:
Formation energy without anion corrections: 552.9 kJ/mol of formula units
Excess energy over the best structure of this formula in the dataset: 0 meV per atom

Cell lengths 4.510, 4.510, 4.699 Å; angles 90.00, 90.00, 90.00 degrees
Space group P4/mmm (No. 123)
Asymmetric unit:
Si1 0.000 0.000 0.000 [1 per cell]
Hg1 0.500 0.500 0.500 [1 per cell]
Ge1 0.000 0.000 0.500 [1 per cell]
Os1 0.000 0.500 0.000 [2 per cell]



No. 2
A plane-wave DFT calculation with PBE was carried out for crystalline NaHg at its relaxed geometry.

Computed properties:
Energy of formation from the pure elements: -0.357 eV/f.u.

Cell lengths 3.434, 10.045, 9.653 Å; angles 90.00, 90.00, 90.00 degrees
Space group Amm2 (No. 38)
Asymmetric unit:
Na1 0.000 0.000 0.000 [2 per cell]
Na2 0.000 0.167 0.501 [4 per cell]
Hg1 0.500 0.000 0.726 [2 per cell]
Hg2 0.500 0.166 0.226 [4 per cell]